[1]
Density functional theory data (PBE) for a geometry-optimized Gd2TiTl structure.

```
4
Lattice="4.896 0.000 0.000 0.000 4.896 0.000 0.000 0.000 4.377" Properties=species:S:1:pos:R:3 pbc="T T T"
Gd 0.000 2.448 0.000
Gd 2.448 0.000 0.000
Ti 0.000 0.000 2.189
Tl 2.448 2.448 2.189
```

## Properties
space-group type = P4/mmm
crystal system = tetragonal
energy of formation from the pure elements = -0.030 eV/atom
total magnetic moment = 16.97 Bohr magnetons per cell

[2]
Density functional theory data (PBE) for a geometry-optimized BiSbS2N structure.

```
5
Lattice="5.175 0.000 0.000 0.000 5.175 0.000 0.000 0.000 3.917" Properties=species:S:1:pos:R:3 pbc="T T T"
Bi 0.000 0.000 0.000
Sb 2.588 2.588 1.958
S 0.000 2.588 1.958
S 2.588 0.000 1.958
N 2.588 2.588 0.000
```

## Properties
space-group type = P4/mmm
crystal system = tetragonal
ΔE_f (raw) = 0.585 eV per atom
total magnetic moment = 0.00 Bohr magnetons per cell

[3]
Density functional theory data (PBE) for a geometry-optimized TeP4W structure.

```
6
Lattice="0.000 3.646 3.646 3.646 0.000 3.646 3.646 3.646 0.000" Properties=species:S:1:pos:R:3 pbc="T T T"
Te 0.000 0.000 0.000
P 2.736 2.736 2.736
P 4.556 4.556 2.736
P 4.556 2.736 4.556
P 2.736 4.556 4.556
W 5.469 5.469 5.469
```

## Properties
space-group type = F-43m
crystal system = cubic
ΔE_f (raw) = 1.060 eV per atom
total magnetic moment = 0.00 Bohr magnetons per cell

[4]
Density functional theory data (PBE) for a geometry-optimized LiAg2IrN structure.

```
5
Lattice="4.597 0.000 0.000 0.000 4.597 0.000 0.000 0.000 3.825" Properties=species:S:1:pos:R:3 pbc="T T T"
Li 0.000 0.000 0.000
Ag 0.000 2.299 1.912
Ag 2.299 0.000 1.912
Ir 2.299 2.299 0.000
N 2.299 2.299 1.912
```

## Properties
space-group type = P4/mmm
crystal system = tetragonal
ΔE_f (raw) = 0.324 eV per atom
total magnetic moment = 0.00 Bohr magnetons per cell

[5]
Density functional theory data (PBE) for a geometry-optimized HgWSe structure.

```
3
Lattice="4.850 0.000 0.000 -2.425 4.200 0.000 0.000 0.000 2.755" Properties=species:S:1:pos:R:3 pbc="T T T"
Hg 0.000 0.000 0.000
W 0.000 2.800 1.378
Se 2.425 1.400 1.378
```

## Properties
space-group type = P-6m2
crystal system = hexagonal
ΔE_f (raw) = 0.813 eV per atom
total magnetic moment = 0.00 Bohr magnetons per cell

[6]
Density functional theory data (PBE) for a geometry-optimized Er4GaBi2 structure.

```
14
Lattice="7.752 0.000 0.000 0.000 12.104 0.000 0.000 0.000 4.557" Properties=species:S:1:pos:R:3 pbc="T T T"
Er 1.132 2.571 0.000
Er 1.614 11.412 2.278
Er 2.262 5.360 2.278
Er 2.744 8.623 0.000
Er 5.008 3.481 0.000
Er 5.490 6.744 2.278
Er 6.138 0.692 2.278
Er 6.620 9.533 0.000
Ga 0.000 0.000 0.000
Ga 3.876 6.052 0.000
Bi 0.600 8.149 2.278
Bi 3.276 2.097 2.278
Bi 4.476 10.007 2.278
Bi 7.152 3.955 2.278
```

## Properties
space-group type = Pbam
crystal system = orthorhombic
energy of formation from the pure elements = -0.576 eV/atom
total magnetic moment = 0.00 Bohr magnetons per cell

[7]
Density functional theory data (PBE) for a geometry-optimized Ta4Nb2Ru3 structure.

```
18
Lattice="5.604 0.000 0.000 -1.434 6.024 0.000 -0.569 -1.468 9.213" Properties=species:S:1:pos:R:3 pbc="T T T"
Ta -0.300 1.418 0.098
Ta -0.012 1.903 6.912
Ta -0.430 4.886 6.898
Ta 2.022 0.777 4.855
Ta 1.578 3.779 4.358
Ta 4.031 -0.330 2.316
Ta 3.612 2.653 2.301
Ta 3.901 3.138 9.116
Nb -0.334 5.304 2.611
Nb 1.276 3.629 0.986
Nb 2.324 0.927 8.227
Nb 3.934 -0.748 6.602
Ru -1.127 3.828 4.542
Ru 0.592 1.966 2.866
Ru 2.178 0.771 0.830
Ru 1.422 3.785 8.384
Ru 3.009 2.591 6.347
Ru 4.728 0.728 4.672
```

## Properties
space-group type = P-1
crystal system = triclinic
energy of formation from the pure elements = 0.007 eV/atom
total magnetic moment = 0.00 Bohr magnetons per cell

[8]
Density functional theory data (PBE) for a geometry-optimized PuPaTe2 structure.

```
4
Lattice="0.000 3.768 3.768 3.768 0.000 3.768 3.768 3.768 0.000" Properties=species:S:1:pos:R:3 pbc="T T T"
Pu 0.000 0.000 0.000
Pa 3.768 3.768 3.768
Te 1.884 1.884 1.884
Te 5.653 5.653 5.653
```

## Properties
space-group type = Fm-3m
crystal system = cubic
ΔE_f (raw) = -0.826 eV per atom
total magnetic moment = 8.21 Bohr magnetons per cell